Below is an optimized crystal structure of Na2CeVF8, with properties calculated at the GGA+U level.

Lattice parameters (Å, degrees): 4.1513 7.2752 5.4907 90.00 93.03 90.00
With the nearest neighbours (Å) after each atom.
Atoms (fractional coordinates):
Na 0.0000 0.2287 0.0000  6 F 2.30-2.43
Na 0.0000 0.7713 0.0000  6 F 2.30-2.43
Ce 0.5000 0.5000 0.5000  6 F 2.29-2.36
V 0.5000 0.0000 0.5000  6 F 1.97-2.09
F 0.0342 0.5000 0.2577  1 Ce 2.29, 2 Na 2.43
F 0.1095 0.0000 0.2815  1 V 1.97
F 0.4171 0.2277 0.7210  1 V 2.09
F 0.4171 0.7723 0.7210  1 V 2.09
F 0.5829 0.2277 0.2790  1 V 2.09
F 0.5829 0.7723 0.2790  1 V 2.09
F 0.8905 0.0000 0.7185  1 V 1.97
F 0.9658 0.5000 0.7423  1 Ce 2.29, 2 Na 2.43

Values from the calculation:
The magnetization is 3.00 μB per formula unit. The calculation puts the electronic total energy at -5.769 eV/atom. As for the density of states at the Fermi level: 4.82 states/eV per cell.